# 1
DFT (meta-GGA SCAN) results for a crystal of Co2PRu relaxed with PBEsol.

```
4
Lattice="2.6718 0.0000 0.0000 0.0000 4.0682 0.0065 0.0000 -1.0488 4.0599" Properties=species:S:1:pos:R:3 pbc="T T T"
Co 0.0000 0.0000 0.0000
Co 1.3359 2.0341 0.0032
P 1.3359 -0.5244 2.0300
Ru 0.0000 1.5097 2.0332
```

Properties
The formation enthalpy at 0 K is 0.077 eV/atom. Its calculated volume is 44.15 Å³/f.u. The value obtained for the final energy is -19.8812 eV/atom. The space group is No. 10.

---

# 2
DFT (meta-GGA SCAN) results for a crystal of Co2PRu relaxed with PBEsol.

```
4
Lattice="2.6691 0.0000 0.0000 1.3346 2.3115 0.0000 1.3346 0.7705 7.4897" Properties=species:S:1:pos:R:3 pbc="T T T"
Co 1.3346 0.7705 7.4127
Co 4.0037 2.3115 5.4829
P 2.6691 1.5410 3.8265
Ru 1.3346 0.7705 2.0022
```

Properties
The formation enthalpy at 0 K is 0.076 eV/atom. Its calculated volume is 46.21 Å³/f.u. The value obtained for the final energy is -19.8825 eV/atom. The space group is No. 160.

---

# 3
DFT (meta-GGA SCAN) results for a crystal of Co2PRu relaxed with PBEsol.

```
4
Lattice="3.4934 0.0000 0.0000 0.0000 3.4934 0.0000 -1.7467 -1.7467 3.5790" Properties=species:S:1:pos:R:3 pbc="T T T"
Co 1.7467 0.0000 1.7895
Co 0.0000 1.7467 1.7895
P 1.7467 1.7467 0.0000
Ru 0.0000 0.0000 0.0000
```

Properties
The formation enthalpy at 0 K is 0.130 eV/atom. Its calculated volume is 43.68 Å³/f.u. The value obtained for the final energy is -19.8284 eV/atom. The space group is No. 139.

---

# 4
DFT (meta-GGA SCAN) results for a crystal of CoP2RuW relaxed with PBEsol.

```
5
Lattice="4.3340 0.0000 0.0000 0.0000 4.3340 0.0000 0.0000 0.0000 4.8513" Properties=species:S:1:pos:R:3 pbc="T T T"
Ru 0.0000 0.0000 0.0000
Co 2.1670 2.1670 2.4257
W 0.0000 0.0000 2.4257
P 0.0000 2.1670 0.0000
P 2.1670 0.0000 0.0000
```

Properties
The formation enthalpy at 0 K is 1.477 eV/atom. Its calculated volume is 91.13 Å³/f.u. The value obtained for the final energy is -27.0458 eV/atom. The space group is No. 123.

---

# 5
DFT (meta-GGA SCAN) results for a crystal of CoP2S2 relaxed with PBEsol.

```
5
Lattice="-3.7459 1.8633 -1.3749 -0.2310 -2.8707 -3.2611 -2.2760 -2.7017 2.5396" Properties=species:S:1:pos:R:3 pbc="T T T"
P 0.0000 0.0000 0.0000
P -1.8729 0.9316 -0.6874
S -1.1380 -1.3509 1.2698
S -0.1155 -1.4354 -1.6305
Co -3.1265 -1.8546 -1.0482
```

Properties
The value obtained for the formation energy without anion corrections is 0.945 eV per atom. Its calculated volume is 83.36 Å³/f.u. The value obtained for the final energy is -10.5268 eV/atom. The space group is No. 123.

---

# 6
DFT (meta-GGA SCAN) results for a crystal of CoPS relaxed with PBEsol.

```
12
Lattice="-4.1152 0.4693 -3.3689 -2.4537 -4.0717 2.4300 -2.3556 3.4214 3.3541" Properties=species:S:1:pos:R:3 pbc="T T T"
P -5.5010 -0.1116 1.4887
P -4.8517 -0.7491 -1.6543
P -3.5508 -2.2307 3.0418
P -3.9457 2.7293 1.9542
S -3.4150 -0.0693 0.9242
S -4.0770 0.5612 4.0653
S -5.3745 2.0486 -0.6177
S -4.9828 -2.9026 0.4587
Co -0.0100 -0.0002 0.0027
Co -5.6844 -2.1185 2.4275
Co -5.6393 1.6214 2.8744
Co -6.5154 0.1352 -0.4741
```

Properties
The value obtained for the formation energy without anion corrections is -0.611 eV per atom. Its calculated volume is 38.05 Å³/f.u. The value obtained for the final energy is -13.0549 eV/atom. The space group is No. 198.

---

# 7
DFT (meta-GGA SCAN) results for a crystal of CoSnPS2 relaxed with PBEsol.

```
5
Lattice="-1.8307 -3.4257 2.9773 3.6736 0.7670 3.1413 -2.6791 3.4273 2.2962" Properties=species:S:1:pos:R:3 pbc="T T T"
P -1.3395 1.7136 1.1481
S 1.8368 0.3835 1.5707
S -0.9153 -1.7129 1.4887
Co -0.4181 0.3843 4.2074
Sn 0.0000 0.0000 0.0000
```

Properties
The value obtained for the formation energy without anion corrections is 1.128 eV per atom. Its calculated volume is 117.82 Å³/f.u. The value obtained for the final energy is -15.4479 eV/atom. The space group is No. 123.

---

# 8
DFT (meta-GGA SCAN) results for a crystal of CoSbP relaxed with PBEsol.

```
3
Lattice="-3.1642 0.1326 2.7920 -3.9892 -0.4494 -1.3074 -2.1429 -3.5166 0.9306" Properties=species:S:1:pos:R:3 pbc="T T T"
Sb 0.0000 0.0000 0.0000
Co -4.6481 -1.9167 1.2076
P -2.3241 -0.9584 0.6038
```

Properties
The value obtained for the formation energy without anion corrections is 0.764 eV per atom. The value obtained for the energy above the most stable polymorph in this dataset is 1.078 eV per atom. Its calculated volume is 53.21 Å³/f.u. The value obtained for the final energy is -20.8903 eV/atom. The space group is No. 216.

---

# 9
DFT (meta-GGA SCAN) results for a crystal of CoSb2P relaxed with PBEsol.

```
4
Lattice="-1.1720 0.0375 -3.4296 1.2793 -2.4170 -2.3789 -4.7636 -4.9034 -0.3411" Properties=species:S:1:pos:R:3 pbc="T T T"
Sb -1.2788 -1.9189 -1.4993
Sb -3.3776 -5.3639 -4.6503
Co -2.3282 -3.6414 -3.0748
P 0.0000 0.0000 0.0000
```

Properties
The value obtained for the formation energy without anion corrections is 0.283 eV per atom. Its calculated volume is 74.15 Å³/f.u. The value obtained for the final energy is -25.2735 eV/atom. The space group is No. 166.

---

# 10
DFT (meta-GGA SCAN) results for a crystal of CoSbP relaxed with PBEsol.

```
24
Lattice="-3.6072 3.0804 -3.4971 -4.3843 -3.8357 1.1436 -3.0599 6.0195 8.4585" Properties=species:S:1:pos:R:3 pbc="T T T"
Co -1.7779 2.0032 3.4548
Co -8.3808 3.5126 6.9166
Co -6.5621 1.2849 -1.8872
Co -5.3820 3.7277 3.7258
Co -9.2735 3.2610 2.6502
Co -2.6707 1.7516 -0.8116
Co -4.4893 3.9793 7.9922
Co -5.6694 1.5365 2.3792
P -3.7783 2.6151 2.7396
P -6.5766 3.2866 8.1741
P -5.9563 -0.5472 -0.8082
P -5.7916 5.1738 2.1046
P -7.2731 2.6491 3.3654
P -4.4748 1.9776 -2.0691
P -5.0951 5.8114 6.9132
P -5.2598 0.0904 4.0004
Sb -0.9736 1.4305 1.0681
Sb -7.8218 1.4034 5.5347
Sb -6.3565 2.7411 0.2360
Sb -6.9510 4.9534 5.3712
Sb -10.0778 3.8337 5.0369
Sb -3.2297 3.8608 0.5703
Sb -4.6950 2.5231 5.8690
Sb -4.1004 0.3108 0.7338
```

Properties
The value obtained for the formation energy without anion corrections is -0.314 eV per atom. The value obtained for the energy above the most stable polymorph in this dataset is 0.000 eV per atom. Its calculated volume is 47.33 Å³/f.u. The value obtained for the final energy is -21.9682 eV/atom. The space group is No. 61.

---

# 11
DFT (meta-GGA SCAN) results for a crystal of CoSb2P relaxed with PBEsol.

```
4
Lattice="-0.2040 1.1445 2.8535 2.8156 -3.2283 1.4961 2.9735 4.3088 -3.1792" Properties=species:S:1:pos:R:3 pbc="T T T"
Sb 0.0303 0.0231 -0.0071
Sb 2.5514 2.5978 0.8040
Co 1.4889 -0.9022 2.1318
P 2.8204 -0.5358 0.4165
```

Properties
The value obtained for the formation energy without anion corrections is 0.302 eV per atom. Its calculated volume is 76.57 Å³/f.u. The value obtained for the final energy is -25.2544 eV/atom. The space group is No. 44.

---

# 12
DFT (meta-GGA SCAN) results for a crystal of CoSb2P relaxed with PBEsol.

```
4
Lattice="-0.5145 1.0873 3.2025 -3.1689 -0.0369 -2.3238 -0.1532 -6.1992 2.0802" Properties=species:S:1:pos:R:3 pbc="T T T"
Sb -3.5832 0.6379 1.0349
Sb -1.6528 -3.9040 1.0600
Co -3.4720 -2.0819 0.1491
P -2.3148 -1.3432 1.9113
```

Properties
The value obtained for the formation energy without anion corrections is 0.122 eV per atom. Its calculated volume is 77.90 Å³/f.u. The value obtained for the final energy is -25.4344 eV/atom. The space group is No. 8.

---

# 13
DFT (meta-GGA SCAN) results for a crystal of Sc2CoP relaxed with PBEsol.

```
4
Lattice="-2.7380 2.0514 -0.9581 -2.3319 -2.2321 1.8848 1.9947 1.6522 4.4245" Properties=species:S:1:pos:R:3 pbc="T T T"
Sc 0.1340 0.5736 0.8451
Sc -0.6773 0.9753 4.0237
P -2.3115 0.8662 1.8726
Co -0.9680 2.7418 2.0494
```

Properties
The formation enthalpy at 0 K is -0.967 eV/atom. Its calculated volume is 63.87 Å³/f.u. The value obtained for the final energy is -15.0112 eV/atom. The space group is No. 38.